(1)
Here is Nb5O12F at its PBEsol-relaxed geometry from Alexandria. Energies are from SCAN.

a b c (Å): 3.832 6.478 17.869
angles (deg): 90.00 90.00 90.00
Positions (direct):
O  0.000  0.537  0.671
O  0.000  0.093  0.353
O  0.500  0.803  0.372
Nb  0.000  0.309  0.064
O  0.500  0.197  0.872
F  0.000  0.000  0.500
O  0.500  0.278  0.442
O  0.500  0.191  0.250
O  0.000  0.382  0.548
O  0.500  0.722  0.558
O  0.500  0.803  0.128
O  0.000  0.463  0.171
Nb  0.000  0.240  0.250
O  0.500  0.197  0.628
O  0.500  0.278  0.058
Nb  0.000  0.760  0.750
Nb  0.000  0.691  0.936
O  0.000  0.907  0.647
Nb  0.000  0.784  0.357
O  0.000  0.192  0.750
O  0.000  0.618  0.048
O  0.000  0.907  0.853
Nb  0.000  0.784  0.143
O  0.500  0.722  0.942
O  0.000  0.463  0.329
O  0.500  0.809  0.750
Nb  0.000  0.216  0.643
O  0.000  0.382  0.952
O  0.000  0.618  0.452
F  0.000  0.000  0.000
Nb  0.000  0.216  0.857
O  0.000  0.537  0.829
O  0.000  0.093  0.147
O  0.000  0.808  0.250
Nb  0.000  0.691  0.564
Nb  0.000  0.309  0.436

Values from the calculation:
Fermi-level density of states: 0.0000 states/eV/atom
M_tot: 0.000 μB/atom
VASP energy: -16.301 eV per atom

(2)
Here is Mg2ZnCdOs at its PBEsol-relaxed geometry from Alexandria. Energies are from SCAN.

a b c (Å): 4.942 4.942 5.133
angles (deg): 90.00 90.00 90.00
Positions (direct):
Mg  0.000  0.500  0.000
Mg  0.500  0.000  0.000
Zn  0.500  0.500  0.500
Os  0.000  0.000  0.000
Cd  0.000  0.000  0.500

Values from the calculation:
energy of formation: 381 kJ/mol of formula units
Fermi-level density of states: 0.6889 states/eV/atom
M_tot: 0.000 μB/atom
VASP energy: -24.361 eV per atom

(3)
Here is TlTc2P at its PBEsol-relaxed geometry from Alexandria. Energies are from SCAN.

a b c (Å): 4.469 4.469 4.469
angles (deg): 60.00 60.00 60.00
Positions (direct):
Tc  0.000  0.000  0.000
Tc  0.750  0.750  0.750
Tl  0.250  0.250  0.250
P  0.500  0.500  0.500

Values from the calculation:
energy of formation: 313 kJ/mol of formula units
Fermi-level density of states: 0.7581 states/eV/atom
M_tot: 0.000 μB/atom
VASP energy: -37.409 eV per atom
ΔE to the lowest computed polymorph: 0.586 eV/atom

(4)
Here is TcNi2Pt at its PBEsol-relaxed geometry from Alexandria. Energies are from SCAN.

a b c (Å): 2.623 4.408 4.617
angles (deg): 99.23 90.00 107.31
Positions (direct):
Ni  0.248  0.497  0.231
Tc  0.500  0.000  0.000
Pt  0.000  0.000  0.500
Ni  0.752  0.503  0.769

Values from the calculation:
energy of formation: -20 kJ/mol of formula units
Fermi-level density of states: 0.8735 states/eV/atom
M_tot: 0.000 μB/atom
VASP energy: -34.451 eV per atom
ΔE to the lowest computed polymorph: 0.038 eV/atom

(5)
Here is ScFeHg2 at its PBEsol-relaxed geometry from Alexandria. Energies are from SCAN.

a b c (Å): 3.189 3.189 8.829
angles (deg): 79.60 79.60 60.00
Each line ends with the local moment (μB).
Positions (direct):
Hg  0.991  0.991  0.027  -0.02
Fe  0.247  0.247  0.258  2.52
Hg  0.752  0.752  0.744  -0.02
Sc  0.510  0.510  0.471  -0.54

Values from the calculation:
energy of formation: 34 kJ/mol of formula units
Fermi-level density of states: 0.5872 states/eV/atom
M_tot: 0.407 μB/atom
VASP energy: -42.088 eV per atom

(6)
Here is CsMnPPd2 at its PBEsol-relaxed geometry from Alexandria. Energies are from SCAN.

a b c (Å): 4.508 4.508 6.153
angles (deg): 90.00 90.00 90.00
Each line ends with the local moment (μB).
Positions (direct):
P  0.000  0.000  0.000  -0.02
Pd  0.500  0.000  0.000  -0.13
Cs  0.000  0.000  0.500  0.03
Mn  0.500  0.500  0.500  4.61
Pd  0.000  0.500  0.000  -0.13

Values from the calculation:
energy of formation: 252 kJ/mol of formula units
Fermi-level density of states: 0.9827 states/eV/atom
M_tot: 0.948 μB/atom
VASP energy: -25.880 eV per atom

(7)
Here is ZrTiF6 at its PBEsol-relaxed geometry from Alexandria. Energies are from SCAN.

a b c (Å): 5.747 5.747 5.747
angles (deg): 60.00 60.00 60.00
Each line ends with the local moment (μB).
Positions (direct):
Ti  0.000  0.000  0.000  1.50
F  0.751  0.249  0.751  -0.01
F  0.249  0.249  0.751  -0.01
F  0.751  0.751  0.249  -0.01
F  0.249  0.751  0.751  -0.01
F  0.249  0.751  0.249  -0.01
Zr  0.500  0.500  0.500  0.30
F  0.751  0.249  0.249  -0.01

Values from the calculation:
Fermi-level density of states: 0.7728 states/eV/atom
M_tot: 0.250 μB/atom
VASP energy: -12.126 eV per atom

(8)
Here is TcP2Ru at its PBEsol-relaxed geometry from Alexandria. Energies are from SCAN.

a b c (Å): 3.430 3.430 5.040
angles (deg): 109.90 109.90 90.00
Each line ends with the local moment (μB).
Positions (direct):
P  0.000  0.000  0.000  -0.02
P  0.750  0.250  0.500  0.00
Ru  0.500  0.500  0.000  -0.02
Tc  0.250  0.750  0.500  0.74

Values from the calculation:
energy of formation: 30 kJ/mol of formula units
Fermi-level density of states: 0.6378 states/eV/atom
M_tot: 0.173 μB/atom
VASP energy: -22.593 eV per atom
ΔE to the lowest computed polymorph: 0.000 eV/atom